A geometry-optimized VPtNF2 structure. Source: Alexandria via LeMat-Bulk, functional PBE+U.

Summary:
Symmetry   P4/mmm (123)
Distance to the lowest polymorph of the same formula   0 meV per atom
Final energy   -5.509 eV/atom

Unit cell a=3.887 b=3.887 c=4.070 alpha=90.00 beta=90.00 gamma=90.00
Atoms (fractional coordinates):
V 0.000 0.000 0.000
Pt 0.500 0.500 0.500
N 0.000 0.000 0.500
F 0.000 0.500 0.000
F 0.500 0.000 0.000